No. 1
NaGaIBr (PBE, relaxed); relative energy among the computed polymorphs = 0.42 eV per formula unit; energy relative to the elements, uncorrected = -307 kJ/mol of formula units; final energy = -2.69 eV per atom
1.0
5.542 0.000 0.000
2.771 4.800 0.000
2.771 1.600 4.525
Br I Na Ga
1 1 1 1
Cartesian
8.313 4.800 3.394
2.771 1.600 1.131
0.000 0.000 0.000
5.542 3.200 2.263

=====

No. 2
K2Os3RuO12 (PBE, relaxed); energy relative to the elements, uncorrected = -2022 kJ/mol of formula units; final energy = -6.98 eV per atom
1.0
-6.232 -3.606 -0.349
-0.383 -6.723 2.572
-3.712 -1.305 6.040
Ru Os O K
1 3 12 2
Cartesian
0.000 0.000 0.000
-1.856 -0.653 3.020
-3.116 -1.803 -0.174
-0.192 -3.362 1.286
-3.206 -5.719 5.858
-6.815 -3.795 4.055
-3.512 -7.839 4.208
-5.566 -4.496 6.348
-7.121 -5.915 2.406
-5.824 -8.664 7.945
-4.503 -2.970 0.318
-0.902 -4.890 2.116
-7.376 -10.081 4.012
-4.761 -7.139 1.915
-2.951 -1.554 4.252
-9.426 -6.745 6.147
-6.455 -7.272 5.165
-3.872 -4.362 3.098

=====

No. 3
Dy4Th (PBE, relaxed); relative energy among the computed polymorphs = 3.51 eV per formula unit; E_form = 4.3 eV/f.u.; final energy = -4.30 eV per atom
1.0
5.779 0.000 0.000
0.000 5.779 0.000
0.000 0.000 5.779
Th Dy
1 4
Cartesian
2.889 2.889 2.889
0.000 0.000 0.000
0.000 2.889 2.889
2.889 0.000 2.889
2.889 2.889 0.000

=====

No. 4
CaRu2Pb (PBE, relaxed); E_form = 1.3 eV/f.u.; final energy = -5.73 eV per atom
1.0
-1.401 2.131 -3.870
2.355 -3.075 -2.545
-2.795 -2.046 -0.114
Ca Ru Pb
1 2 1
Cartesian
-2.098 0.042 -1.992
0.477 -0.472 -3.208
0.000 0.000 0.000
-0.220 -2.560 -1.330

=====

No. 5
Nd3Ho2ThTe6 (PBE, relaxed); energy relative to the elements, uncorrected = -1498 kJ/mol of formula units; final energy = -5.44 eV per atom
1.0
-3.494 2.245 1.418
-3.935 -1.070 -8.004
-1.347 -8.922 4.014
Te Ho Nd Th
6 2 3 1
Cartesian
-5.086 -2.160 -2.322
-3.193 -1.649 1.536
-3.691 -5.587 -0.250
-5.584 -6.098 -4.108
-1.045 -0.378 -1.978
-7.731 -7.369 -0.595
-2.338 -2.937 -1.111
-6.439 -4.810 -1.461
-3.715 0.587 -3.293
-4.270 -3.357 -5.208
-4.507 -4.389 2.636
-1.747 1.123 0.709

=====

No. 6
Ca2TaO4 (PBE, relaxed); energy relative to the elements, uncorrected = -1776 kJ/mol of formula units; final energy = -7.73 eV per atom
1.0
-3.074 -3.264 4.174
3.617 -4.781 -1.075
4.838 2.979 3.026
O Ca Ta
8 4 2
Cartesian
3.313 -5.349 1.513
1.732 -3.259 1.983
4.014 0.676 1.870
1.366 -5.742 4.255
2.067 0.283 4.611
3.648 -1.807 4.141
3.981 -4.169 6.055
1.400 -0.897 0.070
0.835 -5.620 1.926
4.545 0.554 4.199
3.124 -4.333 3.901
2.256 -0.733 2.224
3.028 -3.640 0.494
2.352 -1.426 5.630

=====

Per-record V, Å³/atom: 30.10 14.82 38.59 18.61 31.00 16.34